Computed, not measured: a relaxed TmVPt2 crystal at the GGA-PBE level of DFT.

CIF file:
```
data_TmVPt2
_cell_length_a 3.312
_cell_length_b 3.312
_cell_length_c 6.508
_cell_angle_alpha 90.00
_cell_angle_beta 90.00
_cell_angle_gamma 90.00
_space_group_name_H-M_alt 'P 1'
_space_group_IT_number 1
_space_group_name_Hall 'P 1'
loop_
_atom_site_label
_atom_site_type_symbol
_atom_site_fract_x
_atom_site_fract_y
_atom_site_fract_z
Tm1 Tm 0.000 0.000 0.000
V1 V 0.000 0.000 0.500
Pt1 Pt 0.500 0.500 0.281
Pt2 Pt 0.500 0.500 0.719
```

Properties
- density of states at the Fermi level (states/eV per cell) = 4.42
- crystal system = tetragonal
- energy relative to the elements (eV per atom) = -0.72
- excess energy over the best structure of this formula in the dataset (meV/atom) = 23

Computed, not measured: a relaxed TmVPt6 crystal at the GGA-PBE level of DFT.

CIF file:
```
data_TmVPt6
_cell_length_a 4.000
_cell_length_b 4.000
_cell_length_c 8.041
_cell_angle_alpha 90.00
_cell_angle_beta 90.00
_cell_angle_gamma 90.00
_space_group_name_H-M_alt 'P 1'
_space_group_IT_number 1
_space_group_name_Hall 'P 1'
loop_
_atom_site_label
_atom_site_type_symbol
_atom_site_fract_x
_atom_site_fract_y
_atom_site_fract_z
Tm1 Tm 0.000 0.000 0.000
V1 V 0.000 0.000 0.500
Pt1 Pt 0.000 0.500 0.265
Pt2 Pt 0.000 0.500 0.735
Pt3 Pt 0.500 0.000 0.265
Pt4 Pt 0.500 0.000 0.735
Pt5 Pt 0.500 0.500 0.000
Pt6 Pt 0.500 0.500 0.500
```

Properties
- density of states at the Fermi level (states/eV per cell) = 5.33
- crystal system = tetragonal
- energy relative to the elements (eV per atom) = -0.77

Computed, not measured: a relaxed TmVPt2 crystal at the GGA-PBE level of DFT.

CIF file:
```
data_TmVPt2
_cell_length_a 4.380
_cell_length_b 4.380
_cell_length_c 3.688
_cell_angle_alpha 90.00
_cell_angle_beta 90.00
_cell_angle_gamma 90.00
_space_group_name_H-M_alt 'P 1'
_space_group_IT_number 1
_space_group_name_Hall 'P 1'
loop_
_atom_site_label
_atom_site_type_symbol
_atom_site_fract_x
_atom_site_fract_y
_atom_site_fract_z
Tm1 Tm 0.000 0.000 0.000
V1 V 0.500 0.500 0.000
Pt1 Pt 0.000 0.500 0.500
Pt2 Pt 0.500 0.000 0.500
```

Properties
- density of states at the Fermi level (states/eV per cell) = 4.08
- crystal system = tetragonal
- energy relative to the elements (eV per atom) = -0.72
- excess energy over the best structure of this formula in the dataset (meV/atom) = 22

Computed, not measured: a relaxed YTmPt crystal at the GGA-PBE level of DFT.

CIF file:
```
data_YTmPt
_cell_length_a 4.697
_cell_length_b 4.647
_cell_length_c 7.204
_cell_angle_alpha 90.00
_cell_angle_beta 97.14
_cell_angle_gamma 90.00
_space_group_name_H-M_alt 'P 1'
_space_group_IT_number 1
_space_group_name_Hall 'P 1'
loop_
_atom_site_label
_atom_site_type_symbol
_atom_site_fract_x
_atom_site_fract_y
_atom_site_fract_z
Y1 Y 0.223 0.250 0.384
Y2 Y 0.777 0.750 0.616
Tm1 Tm 0.262 0.750 0.008
Tm2 Tm 0.738 0.250 0.992
Pt1 Pt 0.177 0.250 0.770
Pt2 Pt 0.823 0.750 0.230
```

Properties
- density of states at the Fermi level (states/eV per cell) = 7.43
- crystal system = monoclinic
- energy relative to the elements (eV per atom) = -0.87
- excess energy over the best structure of this formula in the dataset (meV/atom) = 14

Computed, not measured: a relaxed Y2Tm3Pt2 crystal at the GGA-PBE level of DFT.

CIF file:
```
data_Y2Tm3Pt2
_cell_length_a 6.355
_cell_length_b 6.355
_cell_length_c 8.953
_cell_angle_alpha 115.49
_cell_angle_beta 115.49
_cell_angle_gamma 34.40
_space_group_name_H-M_alt 'P 1'
_space_group_IT_number 1
_space_group_name_Hall 'P 1'
loop_
_atom_site_label
_atom_site_type_symbol
_atom_site_fract_x
_atom_site_fract_y
_atom_site_fract_z
Y1 Y 0.161 0.161 0.309
Y2 Y 0.839 0.839 0.691
Tm1 Tm 0.385 0.385 0.064
Tm2 Tm 0.500 0.500 0.500
Tm3 Tm 0.615 0.615 0.936
Pt1 Pt 0.170 0.170 0.739
Pt2 Pt 0.830 0.830 0.261
```

Properties
- density of states at the Fermi level (states/eV per cell) = 8.64
- crystal system = monoclinic
- energy relative to the elements (eV per atom) = -0.82

Computed, not measured: a relaxed Y2TmPt crystal at the GGA-PBE level of DFT.

CIF file:
```
data_Y2TmPt
_cell_length_a 7.011
_cell_length_b 9.571
_cell_length_c 6.505
_cell_angle_alpha 90.00
_cell_angle_beta 90.00
_cell_angle_gamma 90.00
_space_group_name_H-M_alt 'P 1'
_space_group_IT_number 1
_space_group_name_Hall 'P 1'
loop_
_atom_site_label
_atom_site_type_symbol
_atom_site_fract_x
_atom_site_fract_y
_atom_site_fract_z
Y1 Y 0.182 0.060 0.182
Y2 Y 0.182 0.440 0.182
Y3 Y 0.318 0.560 0.682
Y4 Y 0.318 0.940 0.682
Y5 Y 0.682 0.060 0.318
Y6 Y 0.682 0.440 0.318
Y7 Y 0.818 0.560 0.818
Y8 Y 0.818 0.940 0.818
Tm1 Tm 0.029 0.250 0.631
Tm2 Tm 0.471 0.750 0.131
Tm3 Tm 0.529 0.250 0.869
Tm4 Tm 0.971 0.750 0.369
Pt1 Pt 0.109 0.750 0.960
Pt2 Pt 0.391 0.250 0.460
Pt3 Pt 0.609 0.750 0.540
Pt4 Pt 0.891 0.250 0.040
```

Properties
- density of states at the Fermi level (states/eV per cell) = 17.67
- crystal system = orthorhombic
- energy relative to the elements (eV per atom) = -0.72
- excess energy over the best structure of this formula in the dataset (meV/atom) = 0